1.
A plane-wave DFT calculation with GGA-PBE was carried out for an optimized crystal structure of NaMnRe3.

abc: 4.4968 4.4968 4.4968
angles: 90.00 90.00 90.00
Last column: nearest neighbours and their distance in Å.
Fractional coordinates of all 5 atoms:
1 Re 0.0000 0.0000 0.5000  2 Mn 2.25
2 Re 0.0000 0.5000 0.0000  2 Mn 2.25
3 Re 0.5000 0.0000 0.0000  2 Mn 2.25
4 Mn 0.0000 0.0000 0.0000  6 Re 2.25
5 Na 0.5000 0.5000 0.5000  12 Re 3.18

The calculated formation energy comes out at 37.10 kcal/mol of atoms. The volume is 90.9 Å³/cell. As for the space group: Pm-3m.

2.
A plane-wave DFT calculation with GGA-PBE was carried out for an optimized crystal structure of MnGeH2.

abc: 4.5327 4.5327 5.1989
angles: 64.16 64.16 90.00
Last column: nearest neighbours and their distance in Å.
Fractional coordinates of all 8 atoms:
1 H 0.2238 0.6250 0.2500  2 Mn 1.67
2 H 0.8750 0.7762 0.7500  2 Mn 1.67
3 H 0.3750 0.4738 0.7500  2 Mn 1.67
4 H 0.5262 0.1250 0.2500  2 Mn 1.67
5 Ge 0.0000 0.0000 0.0000  4 H 2.20
6 Ge 0.7500 0.2500 0.5000  4 H 2.20
7 Mn 0.2500 0.7500 0.5000  4 H 1.67
8 Mn 0.5000 0.5000 0.0000  4 H 1.67

The volume is 84.1 Å³/cell. As for the space group: I-42d. The value obtained for the total energy is -38.07 eV/cell.

3.
A plane-wave DFT calculation with GGA-PBE was carried out for an optimized crystal structure of Pu5Ge2Ir.

abc: 4.5340 7.1910 11.4706
angles: 90.00 90.00 90.00
Last column: nearest neighbours and their distance in Å.
Fractional coordinates of all 16 atoms:
1 Ge 0.5000 0.9112 0.1711  9 Pu 3.01-3.12
2 Ge 0.5000 0.0888 0.8289  9 Pu 3.01-3.12
3 Ge 0.5000 0.5888 0.6711  9 Pu 3.01-3.12
4 Ge 0.5000 0.4112 0.3289  9 Pu 3.01-3.12
5 Pu 0.5000 0.2051 0.5666  2 Ir 2.81, 3 Ge 3.01-3.12
6 Pu 0.5000 0.2949 0.0666  2 Ir 2.81, 3 Ge 3.01-3.12
7 Pu 0.5000 0.7949 0.4334  2 Ir 2.81, 3 Ge 3.01-3.12
8 Pu 0.0000 0.6452 0.2229  1 Ir 2.76, 4 Ge 3.03-3.07
9 Pu 0.5000 0.7051 0.9334  2 Ir 2.81, 3 Ge 3.01-3.12
10 Pu 0.0000 0.5000 0.5000  4 Ge 3.07, 6 Pu 3.20-3.35
11 Pu 0.0000 0.1452 0.2771  1 Ir 2.76, 4 Ge 3.03-3.07
12 Pu 0.0000 0.8548 0.7229  1 Ir 2.76, 4 Ge 3.03-3.07
13 Pu 0.0000 0.0000 0.0000  4 Ge 3.07, 6 Pu 3.20-3.35
14 Pu 0.0000 0.3548 0.7771  1 Ir 2.76, 4 Ge 3.03-3.07
15 Ir 0.0000 0.5000 0.0000  6 Pu 2.76-2.81
16 Ir 0.0000 0.0000 0.5000  6 Pu 2.76-2.81

The calculated formation energy comes out at -8.59 kcal/mol of atoms. The volume is 374.0 Å³/cell. As for the space group: Pbam.

4.
A plane-wave DFT calculation with GGA-PBE was carried out for an optimized crystal structure of CaTe2WN.

abc: 4.7922 4.4062 4.7922
angles: 90.00 90.00 90.00
Last column: nearest neighbours and their distance in Å.
Fractional coordinates of all 5 atoms:
1 Te 0.0000 0.0000 0.5000  2 N 2.40
2 Te 0.5000 0.0000 0.0000  2 N 2.40
3 N 0.0000 0.0000 0.0000  2 Ca 2.20, 4 Te 2.40
4 Ca 0.0000 0.5000 0.0000  2 N 2.20
5 W 0.5000 0.5000 0.5000  8 Te 3.25, 4 Ca 3.39

The volume is 101.2 Å³/cell. The calculation puts the formation energy from raw total energies at 746.3 meV/atom. As for the space group: P4/mmm.

5.
A plane-wave DFT calculation with GGA-PBE was carried out for an optimized crystal structure of Pu3MnIn.

abc: 4.9950 4.9950 4.9950
angles: 90.00 90.00 90.00
Last column: nearest neighbours and their distance in Å.
Fractional coordinates of all 5 atoms:
1 Pu 0.0000 0.5000 0.0000  2 Mn 2.50
2 Pu 0.0000 0.0000 0.5000  2 Mn 2.50
3 Pu 0.5000 0.0000 0.0000  2 Mn 2.50
4 In 0.5000 0.5000 0.5000  12 Pu 3.53
5 Mn 0.0000 0.0000 0.0000  6 Pu 2.50

The calculated formation energy comes out at 2.34 kcal/mol of atoms. The volume is 124.6 Å³/cell. As for the space group: Pm-3m.

6.
A plane-wave DFT calculation with GGA-PBE was carried out for an optimized crystal structure of NaZr2Ga2.

abc: 8.4033 8.4033 3.0537
angles: 90.00 90.00 90.00
Last column: nearest neighbours and their distance in Å.
Fractional coordinates of all 10 atoms:
1 Zr 0.8685 0.3685 0.5000  6 Ga 2.85-2.94, 3 Zr 3.05-3.12
2 Zr 0.3685 0.1315 0.5000  6 Ga 2.85-2.94, 3 Zr 3.05-3.12
3 Zr 0.1315 0.6315 0.5000  6 Ga 2.85-2.94, 3 Zr 3.05-3.12
4 Zr 0.6315 0.8685 0.5000  6 Ga 2.85-2.94, 3 Zr 3.05-3.12
5 Na 0.5000 0.5000 0.0000  2 Na 3.05, 4 Ga 3.13
6 Na 0.0000 0.0000 0.0000  2 Na 3.05, 4 Ga 3.13
7 Ga 0.8338 0.6662 0.0000  6 Zr 2.85-2.94, 2 Ga 3.05, 2 Na 3.13
8 Ga 0.3338 0.8338 0.0000  6 Zr 2.85-2.94, 2 Ga 3.05, 2 Na 3.13
9 Ga 0.6662 0.1662 0.0000  6 Zr 2.85-2.94, 2 Ga 3.05, 2 Na 3.13
10 Ga 0.1662 0.3338 0.0000  6 Zr 2.85-2.94, 2 Ga 3.05, 2 Na 3.13

The calculated formation energy comes out at -5.07 kcal/mol of atoms. The volume is 215.6 Å³/cell. As for the space group: P4/mbm.

7.
A plane-wave DFT calculation with GGA-PBE was carried out for an optimized crystal structure of TaCu2Mo.

abc: 4.7527 4.7527 4.8985
angles: 81.04 81.04 32.49
Last column: nearest neighbours and their distance in Å.
Fractional coordinates of all 4 atoms:
1 Mo 0.4909 0.4909 0.5190  2 Mo 2.66, 7 Cu 2.71-2.87, 3 Ta 2.72-2.92
2 Ta 0.2580 0.2580 0.2346  2 Ta 2.66, 7 Cu 2.72-2.84, 3 Mo 2.72-2.92
3 Cu 0.0085 0.0085 0.9965  5 Cu 2.64-2.88, 4 Mo 2.72-2.87, 3 Ta 2.72-2.74
4 Cu 0.7425 0.7425 0.7499  5 Cu 2.64-2.88, 3 Mo 2.71-2.72, 4 Ta 2.75-2.84

The calculated formation energy comes out at 4.94 kcal/mol of atoms. The volume is 58.6 Å³/cell. As for the space group: Cm.

8.
A plane-wave DFT calculation with GGA-PBE was carried out for an optimized crystal structure of MgBN.

abc: 2.6213 4.4851 4.8294
angles: 90.00 105.74 90.00
Last column: nearest neighbours and their distance in Å.
Fractional coordinates of all 6 atoms:
1 N 0.6538 0.7500 0.8079  2 B 1.54
2 N 0.3462 0.2500 0.1921  2 B 1.54
3 Mg 0.3467 0.7500 0.1934  4 N 2.22-2.24, 2 B 2.44
4 Mg 0.6533 0.2500 0.8066  4 N 2.22-2.24, 2 B 2.44
5 B 0.0678 0.7500 0.6359  2 N 1.54
6 B 0.9322 0.2500 0.3641  2 N 1.54

The volume is 54.6 Å³/cell. The calculation puts the formation energy from raw total energies at -423.7 meV/atom. As for the space group: Cmcm.